First-principles (PBE) data for a geometry-optimized LaPHRh2 structure, as listed in Alexandria.

Calculated values
mass density = 8.32 Mg/m³
electronic total energy = -6.564 eV/atom

abc: 5.7767 5.7767 7.0966
angles: 90.00 90.00 140.59
Element x y z (fractional)
La  0.0593  0.9407  0.7500
La  0.9407  0.0593  0.2500
P  0.2206  0.7794  0.2500
P  0.7794  0.2206  0.7500
H  0.5000  0.5000  0.0000
H  0.5000  0.5000  0.5000
Rh  0.3342  0.6658  0.5554
Rh  0.3342  0.6658  0.9446
Rh  0.6658  0.3342  0.0554
Rh  0.6658  0.3342  0.4446



First-principles (PBE) data for a geometry-optimized LaPH2Rh2 structure, as listed in Alexandria.

Calculated values
mass density = 7.34 Mg/m³
electronic total energy = -5.938 eV/atom

abc: 5.2360 5.5755 5.8660
angles: 90.00 93.03 90.00
Element x y z (fractional)
La  0.2360  0.2500  0.1339
La  0.7640  0.7500  0.8661
P  0.0875  0.7500  0.3208
P  0.9125  0.2500  0.6792
H  0.2756  0.7500  0.8126
H  0.4442  0.2500  0.7311
H  0.5558  0.7500  0.2689
H  0.7244  0.2500  0.1874
Rh  0.2607  0.0031  0.6159
Rh  0.2607  0.4969  0.6159
Rh  0.7393  0.5031  0.3841
Rh  0.7393  0.9969  0.3841



First-principles (PBE) data for a geometry-optimized LaPH2Ru structure, as listed in Alexandria.

Calculated values
mass density = 7.13 Mg/m³
electronic total energy = -5.932 eV/atom

abc: 5.6972 5.6972 5.9865
angles: 90.00 90.00 139.11
Element x y z (fractional)
La  0.2085  0.7915  0.7500
La  0.7915  0.2085  0.2500
P  0.0696  0.9304  0.2500
P  0.9304  0.0696  0.7500
H  0.3435  0.6565  0.0623
H  0.3435  0.6565  0.4377
H  0.6565  0.3435  0.5623
H  0.6565  0.3435  0.9377
Ru  0.5000  0.5000  0.0000
Ru  0.5000  0.5000  0.5000



First-principles (PBE) data for a geometry-optimized LaPH2Ru2 structure, as listed in Alexandria.

Calculated values
mass density = 7.35 Mg/m³
electronic total energy = -6.426 eV/atom

abc: 5.9195 5.9195 5.6998
angles: 90.00 90.00 122.19
Element x y z (fractional)
La  0.2436  0.7564  0.7500
La  0.7564  0.2436  0.2500
P  0.1054  0.8946  0.2500
P  0.8946  0.1054  0.7500
H  0.2393  0.4294  0.2500
H  0.4294  0.2393  0.7500
H  0.5706  0.7607  0.2500
H  0.7607  0.5706  0.7500
Ru  0.2648  0.2648  0.0000
Ru  0.2648  0.2648  0.5000
Ru  0.7352  0.7352  0.0000
Ru  0.7352  0.7352  0.5000



First-principles (PBE) data for a geometry-optimized LaP2HS structure, as listed in Alexandria.

Calculated values
mass density = 4.53 Mg/m³
energy relative to the lowest polymorph listed for this composition = 0 meV/atom

abc: 3.9304 3.9304 5.5482
angles: 90.00 90.00 90.00
Element x y z (fractional)
La  0.0000  0.0000  0.0000
P  0.0000  0.5000  0.5000
P  0.5000  0.0000  0.5000
H  0.5000  0.5000  0.5000
S  0.5000  0.5000  0.0000



First-principles (PBE) data for a geometry-optimized LaPHS2 structure, as listed in Alexandria.

Calculated values
mass density = 4.69 Mg/m³
energy relative to the lowest polymorph listed for this composition = 0 meV/atom

abc: 4.8446 4.8446 3.5439
angles: 90.00 90.00 90.00
Element x y z (fractional)
La  0.0000  0.0000  0.0000
P  0.5000  0.5000  0.0000
H  0.5000  0.5000  0.5000
S  0.0000  0.5000  0.5000
S  0.5000  0.0000  0.5000